Below is a relaxed CeMnFeGe3 crystal, with properties calculated at the GGA-PBE level.

## Properties
Fermi-level density of states: 1.242 states/eV per atom
Electronic total energy: -38.5 eV per formula unit
Total moment: 0.55 μB/f.u.
Energy of formation: -179 meV per atom

Unit cell a=7.301 b=10.638 c=5.785 alpha=90.00 beta=90.00 gamma=90.00
Space group Cmcm (No. 63)
Asymmetric unit:
Ce: 0.000 0.249 0.250
Mn: 0.000 0.457 0.750
Fe: 0.000 0.039 0.750
Ge: 0.000 0.247 0.750
Ge: 0.249 0.000 0.000